A plane-wave DFT calculation with PBE was carried out for a relaxed ThSc2In2Hg2 crystal.

Results
Total magnetization in μB per atom: 0.00
Formation energy from the elements in eV per atom: -0.20
Fermi-level density of states in states/eV per cell: 20.18
E in eV/atom: -3.938

a b c (Å): 4.8642 4.8642 25.4252
angles (deg): 90.00 90.00 120.00
Closest atoms and distances in Å follow each position.
Space group R-3m (No. 166, hexagonal axes)
One atom of each set of equivalent atoms:
Th (0.0000, 0.0000, 0.0000) (multiplicity 3)  6 In 3.31, 2 Sc 3.42
Sc (0.0000, 0.0000, 0.1344) (multiplicity 6)  3 Hg 2.91, 3 Sc 3.25
In (0.0000, 0.0000, 0.2643) (multiplicity 6)  3 Hg 2.95, 3 Sc 3.26
Hg (0.0000, 0.0000, 0.4373) (multiplicity 6)  3 Sc 2.91, 3 In 2.95, 1 Hg 3.19